Computed, not measured: CrGaBrF2 after structural relaxation at the PBE with a Hubbard U level of DFT.

a = 4.130 Å, b = 4.130 Å, c = 6.002 Å
α = 90.00°, β = 90.00°, γ = 90.00°
Last column: magnetic moment on the atom in μB.
Element x y z (fractional)
Cr  0.000  0.000  0.000  3.79
Ga  0.500  0.500  0.500  0.00
Br  0.000  0.000  0.500  0.02
F  0.000  0.500  0.000  0.01
F  0.500  0.000  0.000  0.01

Output
DFT total energy = -24.2 eV for the cell shown
Space-group type = P4/mmm (123)
Theoretical density = 3.89 g/cm³
N(E_F) = 0.0000 states/eV/atom